# 1
Material: NaCoAsCO7
Method: DFT, GGA-PBEsol
State: relaxed

## Properties
formation energy without anion corrections = -1.2132 eV per atom
D(E_F) = 3.39 states/eV/f.u.

extended XYZ file:
```
22
Lattice="-3.636 -3.550 -0.835 0.732 -2.093 5.709 -6.445 6.155 3.082" Properties=species:S:1:pos:R:3 pbc="T T T"
O -2.292 -2.526 0.876
Na -4.213 -1.580 0.219
C -8.120 2.635 3.592
O -4.194 0.291 5.502
O -7.087 3.124 6.847
As -5.633 -0.665 5.413
O -2.832 1.116 1.071
O -2.497 0.280 3.402
As -3.714 1.173 2.556
C -1.242 -2.086 4.265
O -0.715 -0.944 4.665
O -2.551 -2.036 4.490
O -4.085 2.689 3.223
O -5.170 0.266 2.333
O -8.636 1.462 3.277
O -6.802 2.560 3.435
O -6.554 -0.619 6.877
O -6.816 0.252 4.550
Na -5.444 2.974 5.331
Co -6.931 0.800 2.795
O -5.248 -2.222 4.858
Co -2.424 -0.269 5.111
```

# 2
Material: CoTcAs2C
Method: DFT, GGA-PBEsol
State: relaxed

## Properties
D(E_F) = 4.13 states/eV/f.u.
ΔE_f = 1.01 eV per atom

extended XYZ file:
```
5
Lattice="3.398 0.000 0.000 0.000 4.618 0.000 0.000 0.000 4.618" Properties=species:S:1:pos:R:3 pbc="T T T"
As 0.000 2.309 0.000
Co 0.000 0.000 0.000
C 1.699 0.000 0.000
Tc 1.699 2.309 2.309
As 0.000 0.000 2.309
```

# 3
Material: Cr2AsC
Method: DFT, GGA-PBEsol
State: relaxed

## Properties
D(E_F) = 2.62 states/eV/f.u.
ΔE_f = 0.41 eV per atom

extended XYZ file:
```
8
Lattice="-1.934 2.016 -4.197 1.921 -5.433 -0.466 -3.544 -3.585 -0.089" Properties=species:S:1:pos:R:3 pbc="T T T"
Cr -2.062 -6.792 -1.300
Cr -0.937 -4.326 -2.659
Cr -3.133 -1.538 -3.837
As 0.000 0.000 0.000
C -2.739 -0.784 -2.143
As -3.148 -3.893 -3.448
Cr -0.982 -1.347 -1.709
C -0.409 -3.109 -1.305
```

# 4
Material: Cr2AsC
Method: DFT, GGA-PBEsol
State: relaxed

## Properties
D(E_F) = 2.54 states/eV/f.u.
ΔE_f = 0.72 eV per atom

extended XYZ file:
```
4
Lattice="-1.376 3.657 -0.122 -0.842 1.658 -3.438 -3.723 0.655 -0.995" Properties=species:S:1:pos:R:3 pbc="T T T"
Cr -1.485 1.492 -1.139
As -2.970 2.985 -2.278
C 0.000 0.000 0.000
Cr -4.455 4.477 -3.416
```

# 5
Material: Cr3AsC
Method: DFT, GGA-PBEsol
State: relaxed

## Properties
D(E_F) = 5.27 states/eV/f.u.
ΔE_f = -0.14 eV per atom

extended XYZ file:
```
10
Lattice="2.894 0.000 0.000 -1.447 5.081 0.000 0.000 0.000 7.406" Properties=species:S:1:pos:R:3 pbc="T T T"
C 1.447 0.000 3.703
As 1.447 2.684 1.852
As 0.000 2.397 5.555
Cr 0.000 1.264 0.377
Cr 1.447 0.361 5.555
C 1.447 0.000 0.000
Cr 0.000 1.264 3.326
Cr 1.447 3.817 4.081
Cr 1.447 3.817 7.029
Cr 0.000 4.720 1.852
```

# 6
Material: CrAs2CI
Method: DFT, GGA-PBEsol
State: relaxed

## Properties
formation energy without anion corrections = 2.7210 eV per atom
D(E_F) = 3.36 states/eV/f.u.

extended XYZ file:
```
5
Lattice="4.962 0.000 0.000 0.000 5.434 0.000 0.000 0.000 5.434" Properties=species:S:1:pos:R:3 pbc="T T T"
As 0.000 0.000 2.717
Cr 2.481 0.000 0.000
As 0.000 2.717 0.000
C 2.481 2.717 2.717
I 0.000 0.000 0.000
```

# 7
Material: Na4Cr2AsC4O16
Method: DFT, GGA-PBEsol
State: relaxed

## Properties
formation energy without anion corrections = -1.4905 eV per atom
D(E_F) = 15.44 states/eV/f.u.

extended XYZ file:
```
54
Lattice="9.698 0.017 0.000 -0.073 9.698 0.000 -4.813 -4.857 7.001" Properties=species:S:1:pos:R:3 pbc="T T T"
O 4.825 3.411 0.914
O 4.861 -1.438 2.586
O -1.147 -0.857 2.004
O 3.608 -3.266 5.592
O -1.446 -0.001 6.087
O -4.397 -2.505 6.837
Cr -0.018 2.424 1.750
Cr -0.054 7.273 1.750
O 7.277 9.278 0.164
O 1.550 3.586 2.091
O 5.659 6.013 4.998
O 2.349 0.437 0.164
Cr 2.388 4.853 5.251
O 4.837 1.455 2.586
C 4.885 -3.163 5.821
O 8.112 1.279 1.410
O 7.313 4.429 3.336
O 1.111 5.706 1.497
As 4.849 0.008 3.501
C 1.641 4.864 2.320
O 3.403 0.007 4.415
O 0.883 -3.694 5.504
Na 6.895 2.073 3.501
O 0.452 -2.496 3.665
O 1.147 0.857 2.004
Na 6.859 6.922 0.000
C 1.677 0.015 1.181
O 2.312 5.286 3.336
C 8.021 0.001 1.181
O 8.076 6.128 2.091
O 1.446 0.001 6.087
O 4.800 6.304 0.914
As 4.813 4.857 0.000
Na 2.767 2.792 0.000
C 0.036 -3.172 4.681
Na 2.736 6.915 0.000
O -0.452 2.496 3.665
O -0.883 3.694 5.504
O 1.513 8.435 1.410
Na 2.803 -2.057 3.501
O 3.966 3.702 4.998
C 4.813 3.180 5.821
O 4.397 2.505 6.837
O -3.608 3.266 5.592
O 8.514 4.009 1.497
Na 6.890 2.799 0.000
O -1.241 -3.275 4.910
O 1.241 3.275 4.910
Na 6.926 -2.050 3.501
Na 2.772 2.067 3.501
C 7.985 4.850 2.320
C -0.036 3.172 4.681
Cr -2.461 4.845 5.251
O 6.295 0.009 4.415
```

# 8
Material: Na2CrAsCO7
Method: DFT, GGA-PBEsol
State: relaxed

## Properties
formation energy without anion corrections = -1.6431 eV per atom

extended XYZ file:
```
24
Lattice="-2.058 4.636 -1.389 -5.860 -2.892 -0.971 -2.082 1.305 8.682" Properties=species:S:1:pos:R:3 pbc="T T T"
O -8.132 3.331 5.447
Cr -7.385 2.345 3.873
O -1.868 -0.282 0.875
C -2.211 0.688 0.060
Cr -2.615 0.704 2.449
O -6.662 -1.425 1.577
O -5.911 1.057 -1.188
Na -4.993 2.385 0.387
O -5.727 3.295 4.349
O -6.609 1.272 2.388
O -3.337 4.474 4.744
Na -7.879 0.960 -0.091
O -5.924 -0.732 4.221
C -7.788 2.361 6.262
Na -2.120 2.088 6.413
O -4.076 3.780 2.101
O -7.194 1.373 5.617
Na -5.007 0.664 5.935
O -4.273 -0.246 1.973
As -4.129 3.334 3.753
As -5.871 -0.285 2.569
O -3.391 1.777 3.934
O -2.806 1.676 0.705
O -4.089 1.991 7.510
```

# 9
Material: Na6Cr2AsC4O16
Method: DFT, GGA-PBEsol
State: relaxed

## Properties
formation energy without anion corrections = -1.5974 eV per atom
D(E_F) = 5.04 states/eV/f.u.

extended XYZ file:
```
58
Lattice="9.833 0.000 0.000 4.916 8.516 0.000 4.916 2.839 8.029" Properties=species:S:1:pos:R:3 pbc="T T T"
Na 12.688 4.029 6.346
C 9.833 7.702 3.298
Na 6.978 4.029 0.324
O 11.108 5.919 6.180
Na 9.833 8.974 6.346
O 12.308 5.720 3.521
O 15.177 9.741 3.856
O 15.596 7.533 3.856
O 8.632 3.512 3.521
Na 2.855 4.029 0.324
O 17.225 8.967 5.817
Cr 9.833 2.839 5.018
C 16.503 9.528 6.737
Na 6.978 7.326 1.683
O 15.950 10.681 6.515
O 9.405 4.452 6.180
Cr 7.375 7.096 5.018
As 4.916 2.839 2.007
O 16.378 8.962 7.898
O 10.261 7.311 2.138
O 13.121 10.434 5.817
O 1.399 0.808 0.571
C 9.833 5.677 6.162
C 14.749 8.516 3.874
O 4.916 2.839 6.315
O 10.680 8.047 4.219
Na 4.916 5.219 3.690
O 11.034 4.490 2.138
O 4.916 4.454 1.436
Na 9.833 2.380 1.683
Na 2.855 1.648 3.690
Na 4.916 0.458 0.324
O 13.903 6.146 5.817
O 13.549 9.703 7.898
As 0.000 0.000 0.000
Na 12.688 7.326 1.683
C 12.996 9.528 6.737
Na 6.978 1.648 3.690
O 4.916 2.839 3.720
O 3.518 2.031 1.436
O 12.274 8.473 6.515
C 11.587 4.665 3.298
Cr 12.291 7.096 5.018
Cr 9.833 5.677 1.004
O 6.315 2.031 1.436
O 8.558 7.800 3.521
O 8.204 5.231 2.138
O 13.475 8.274 3.856
O 11.462 3.759 4.219
C 14.749 6.491 6.737
O 8.986 6.660 6.180
O 4.916 6.900 0.571
O 14.322 6.882 7.898
O 8.434 0.808 0.571
Na 6.978 4.029 6.346
O 16.024 6.393 6.515
O 7.357 5.226 4.219
C 8.079 4.665 3.298
```

# 10
Material: Na3CrAsCO7
Method: DFT, GGA-PBEsol
State: relaxed

## Properties
formation energy without anion corrections = -1.5941 eV per atom
D(E_F) = 0.43 states/eV/f.u.

extended XYZ file:
```
26
Lattice="-1.339 -0.898 -5.033 0.507 -6.558 1.035 -8.827 -0.247 2.760" Properties=species:S:1:pos:R:3 pbc="T T T"
As -5.214 -1.950 0.909
O -8.908 -2.537 -1.005
C -8.294 -5.334 2.389
O -0.751 -5.165 -0.234
O -8.860 -6.014 -1.640
Cr -5.763 -5.324 1.217
O -3.989 -2.040 -0.267
O -5.670 -5.662 -0.972
O -3.455 -4.340 -2.274
As -4.445 -5.753 -2.147
Na -7.328 -4.147 -1.246
O -0.799 -1.688 0.402
O -5.898 -2.547 -2.540
C -1.365 -2.368 -3.628
Na -1.337 -5.569 -2.505
Cr -3.896 -2.379 -2.455
O -7.794 -5.486 1.186
Na -2.583 -0.284 -0.509
Na -7.076 -7.418 -0.730
O -3.761 -5.156 1.302
O -3.251 -6.971 -1.858
O -1.865 -2.217 -2.424
Na -8.322 -2.133 1.267
Na -2.331 -3.555 0.008
O -6.408 -0.731 0.620
O -6.204 -3.363 1.035
```

# 11
Material: CsAsRhC2
Method: DFT, GGA-PBEsol
State: relaxed

## Properties
D(E_F) = 3.07 states/eV/f.u.
ΔE_f = 1.93 eV per atom

extended XYZ file:
```
5
Lattice="3.994 0.000 0.000 0.000 3.994 0.000 0.000 0.000 6.650" Properties=species:S:1:pos:R:3 pbc="T T T"
C 0.000 1.997 0.000
Cs 0.000 0.000 3.325
Rh 0.000 0.000 0.000
C 1.997 0.000 0.000
As 1.997 1.997 3.325
```

# 12
Material: Cu3AsC
Method: DFT, GGA-PBEsol
State: relaxed

## Properties
D(E_F) = 3.67 states/eV/f.u.
ΔE_f = 0.58 eV per atom

extended XYZ file:
```
5
Lattice="3.922 0.000 0.000 0.000 3.922 0.000 0.000 0.000 3.922" Properties=species:S:1:pos:R:3 pbc="T T T"
As 1.961 1.961 1.961
C 0.000 0.000 0.000
Cu 0.000 0.000 1.961
Cu 1.961 0.000 0.000
Cu 0.000 1.961 0.000
```

# 13
Material: Li2CuAsCO7
Method: DFT, GGA-PBEsol
State: relaxed

## Properties
formation energy without anion corrections = -1.3493 eV per atom
D(E_F) = 1.87 states/eV/f.u.

extended XYZ file:
```
24
Lattice="5.096 0.000 0.150 0.000 6.202 0.000 -0.374 0.000 8.601" Properties=species:S:1:pos:R:3 pbc="T T T"
O 0.946 2.823 2.766
Li 4.072 6.074 1.956
Li 4.072 3.228 1.956
Cu 1.093 4.651 2.979
O 1.013 4.651 7.737
As 3.285 4.651 4.945
O 0.812 1.550 5.370
Cu 3.629 1.550 5.772
C 3.046 1.550 8.372
O 0.946 0.278 2.766
As 1.437 1.550 3.806
O 1.894 1.550 7.870
O 0.603 4.651 1.179
Li 0.650 0.128 6.795
O 2.828 4.651 0.881
Li 0.650 2.973 6.795
O 3.776 5.923 5.985
C 1.676 4.651 0.379
O 4.118 1.550 7.572
O 3.910 4.651 3.381
O 3.776 3.379 5.985
O 3.170 1.550 3.968
O 3.709 1.550 1.013
O 1.552 4.651 4.783
```

# 14
Material: Na6Cu2AsC4O16
Method: DFT, GGA-PBEsol
State: relaxed

## Properties
formation energy without anion corrections = -1.3936 eV per atom
D(E_F) = 16.09 states/eV/f.u.

extended XYZ file:
```
58
Lattice="9.807 0.000 0.000 4.903 8.493 0.000 4.903 2.831 8.007" Properties=species:S:1:pos:R:3 pbc="T T T"
Cu 12.259 7.077 5.005
O 13.043 10.382 5.773
C 8.051 4.648 3.287
Na 9.807 2.395 1.693
C 14.710 6.465 6.722
C 9.807 5.662 6.154
O 15.189 9.695 3.831
C 9.807 7.690 3.287
O 7.337 5.162 4.236
O 11.087 5.849 6.178
O 8.618 3.497 3.455
O 15.512 7.477 3.831
O 10.609 8.050 4.236
O 1.398 0.807 0.571
O 9.005 6.678 6.178
O 14.232 6.844 7.864
O 16.378 8.903 7.864
Na 2.829 4.028 0.308
O 4.903 4.445 1.431
Cu 9.807 5.662 1.001
O 6.301 2.024 1.431
O 8.409 0.807 0.571
As 0.000 0.000 0.000
O 13.521 9.732 7.864
O 10.285 7.311 2.145
O 15.991 6.381 6.554
C 12.954 9.507 6.722
O 4.903 2.831 3.714
C 11.563 4.648 3.287
O 13.908 6.105 5.773
Na 4.903 5.226 3.695
O 12.276 5.715 3.455
Na 2.829 1.634 3.695
C 14.710 8.493 3.855
Na 12.636 7.296 1.693
O 4.903 6.879 0.571
O 11.474 3.773 4.236
Cu 7.355 7.077 5.005
O 10.996 4.423 2.145
Na 9.807 8.929 6.314
As 4.903 2.831 2.002
O 8.139 5.252 2.145
O 13.430 8.306 3.831
O 12.241 8.440 6.554
Na 6.978 4.028 0.308
O 8.526 7.774 3.455
Na 6.978 4.028 6.314
O 9.328 4.460 6.178
Cu 9.807 2.831 5.005
O 3.506 2.024 1.431
Na 12.636 4.028 6.314
Na 6.978 1.634 3.695
C 16.466 9.507 6.722
O 15.899 10.658 6.554
Na 4.903 0.436 0.308
O 17.180 8.993 5.773
O 4.903 2.831 6.295
Na 6.978 7.296 1.693
```

| no. | V (Å³ per atom) | calculated density (g/cm3) |
| --- | --- | --- |
| 1 | 13.52 | 3.1 |
| 2 | 14.49 | 7.3 |
| 3 | 14.46 | 5.5 |
| 4 | 10.56 | 7.5 |
| 5 | 10.89 | 7.4 |
| 6 | 29.30 | 3.9 |
| 7 | 12.19 | 2.9 |
| 8 | 13.05 | 3.1 |
| 9 | 11.59 | 3.1 |
| 10 | 12.51 | 3.3 |
| 11 | 21.21 | 5.2 |
| 12 | 12.06 | 7.6 |
| 13 | 11.34 | 3.4 |
| 14 | 11.50 | 3.2 |